{"formula": "Mg4CdGa4", "functional": "GGA-PBE", "state": "optimized geometry", "e_tot_ev_per_cell": -40.06, "sg": "P4_2/n", "formation_enthalpy_0k_ev_per_fu": -0.63, "magmom_total_mub_per_cell": 0.0, "cell": [[-2.796, 3.996, 2.224], [-1.018, -4.523, 6.847], [6.981, 3.149, 3.119]], "species": ["Mg", "Mg", "Mg", "Mg", "Mg", "Mg", "Mg", "Mg", "Cd", "Cd", "Ga", "Ga", "Ga", "Ga", "Ga", "Ga", "Ga", "Ga"], "frac_coords": [[0.373, 0.426, 0.834], [0.873, 0.666, 0.926], [0.373, 0.574, 0.166], [0.127, 0.074, 0.666], [0.627, 0.834, 0.574], [0.127, 0.926, 0.334], [0.873, 0.334, 0.074], [0.627, 0.166, 0.426], [0.000, 0.000, 0.000], [0.500, 0.500, 0.500], [0.613, 0.893, 0.199], [0.613, 0.107, 0.801], [0.113, 0.699, 0.607], [0.887, 0.393, 0.699], [0.887, 0.607, 0.301], [0.387, 0.199, 0.107], [0.387, 0.801, 0.893], [0.113, 0.301, 0.393]]}

{"formula": "Mg4CdGa", "functional": "GGA-PBE", "state": "optimized geometry", "polymorph_energy_ev_per_fu": 0.348, "e_tot_ev_per_cell": -20.96, "sg": "P4/mmm", "formation_enthalpy_0k_ev_per_fu": -0.16, "magmom_total_mub_per_cell": 0.0, "cell": [[6.581, 0.000, 0.055], [0.000, 6.582, 0.000], [-0.051, 0.000, 6.672]], "species": ["Mg", "Mg", "Mg", "Mg", "Mg", "Mg", "Mg", "Mg", "Cd", "Cd", "Ga", "Ga"], "frac_coords": [[0.750, 0.750, 0.263], [0.750, 0.250, 0.737], [0.250, 0.250, 0.263], [0.250, 0.750, 0.737], [0.250, 0.250, 0.737], [0.250, 0.750, 0.263], [0.750, 0.750, 0.737], [0.750, 0.250, 0.263], [0.000, 0.000, 0.000], [0.500, 0.500, 0.000], [0.500, 0.000, 0.500], [0.000, 0.500, 0.500]]}

{"formula": "Mg5Cd2Ga12", "functional": "GGA-PBE", "state": "optimized geometry", "e_tot_ev_per_cell": -46.34, "sg": "C2/m", "formation_enthalpy_0k_ev_per_fu": -0.22, "magmom_total_mub_per_cell": 0.0, "cell": [[8.625, 0.000, 0.000], [-4.313, 5.109, 1.207], [0.000, -0.231, 8.927]], "species": ["Mg", "Mg", "Mg", "Mg", "Mg", "Cd", "Cd", "Ga", "Ga", "Ga", "Ga", "Ga", "Ga", "Ga", "Ga", "Ga", "Ga", "Ga", "Ga"], "frac_coords": [[0.343, 0.687, 0.561], [0.222, 0.445, 0.169], [0.000, 0.000, 0.500], [0.778, 0.555, 0.831], [0.657, 0.313, 0.439], [0.729, 0.000, 0.000], [0.271, 0.000, 0.000], [0.946, 0.893, 0.204], [0.123, 0.563, 0.866], [0.439, 0.563, 0.866], [0.086, 0.665, 0.359], [0.579, 0.665, 0.359], [0.520, 0.040, 0.753], [0.480, 0.960, 0.247], [0.914, 0.335, 0.641], [0.421, 0.335, 0.641], [0.877, 0.437, 0.134], [0.561, 0.437, 0.134], [0.054, 0.107, 0.796]]}

{"formula": "Mg2Cd2Ga", "functional": "GGA-PBE", "state": "optimized geometry", "polymorph_energy_ev_per_fu": 0.807, "e_tot_ev_per_cell": -7.51, "sg": "I4/mmm", "formation_enthalpy_0k_ev_per_fu": 0.54, "magmom_total_mub_per_cell": 0.0, "cell": [[4.034, 0.000, 0.000], [0.000, 4.034, 0.000], [-2.017, -2.017, 7.427]], "species": ["Mg", "Mg", "Cd", "Cd", "Ga"], "frac_coords": [[0.404, 0.404, 0.807], [0.596, 0.596, 0.193], [0.750, 0.250, 0.500], [0.250, 0.750, 0.500], [0.000, 0.000, 0.000]]}

{"formula": "Mg8Cd6Ga", "functional": "GGA-PBE", "state": "optimized geometry", "e_tot_ev_per_cell": -21.52, "sg": "R-3", "formation_enthalpy_0k_ev_per_fu": -0.24, "magmom_total_mub_per_cell": 0.0, "cell": [[8.375, 0.000, 0.000], [4.188, 7.253, 0.000], [4.188, 2.418, 5.820]], "species": ["Mg", "Mg", "Mg", "Mg", "Mg", "Mg", "Mg", "Mg", "Cd", "Cd", "Cd", "Cd", "Cd", "Cd", "Ga"], "frac_coords": [[0.552, 0.213, 0.353], [0.787, 0.118, 0.647], [0.118, 0.448, 0.647], [0.667, 0.667, 0.998], [0.333, 0.333, 0.002], [0.882, 0.552, 0.353], [0.213, 0.882, 0.353], [0.448, 0.787, 0.647], [0.380, 0.052, 0.845], [0.948, 0.277, 0.155], [0.277, 0.620, 0.155], [0.723, 0.380, 0.845], [0.052, 0.723, 0.845], [0.620, 0.948, 0.155], [0.000, 0.000, 0.000]]}

{"formula": "Mg7Cd3Ga2", "functional": "GGA-PBE", "state": "optimized geometry", "e_tot_ev_per_cell": -18.86, "sg": "Cmmm", "formation_enthalpy_0k_ev_per_fu": 1.10, "magmom_total_mub_per_cell": 0.0, "cell": [[4.859, 0.000, 0.000], [0.000, 4.970, 0.000], [0.000, -2.485, 12.297]], "species": ["Mg", "Mg", "Mg", "Mg", "Mg", "Mg", "Mg", "Cd", "Cd", "Cd", "Ga", "Ga"], "frac_coords": [[0.000, 0.419, 0.837], [0.000, 0.780, 0.560], [0.000, 0.000, 0.000], [0.000, 0.581, 0.163], [0.500, 0.079, 0.158], [0.500, 0.921, 0.842], [0.000, 0.220, 0.440], [0.500, 0.500, 0.000], [0.500, 0.692, 0.385], [0.500, 0.308, 0.615], [0.000, 0.884, 0.769], [0.000, 0.116, 0.231]]}

{"formula": "Mg8Cd3Ga2", "functional": "GGA-PBE", "state": "optimized geometry", "polymorph_energy_ev_per_fu": 0.000, "e_tot_ev_per_cell": -22.04, "sg": "Cmmm", "formation_enthalpy_0k_ev_per_fu": -0.49, "magmom_total_mub_per_cell": 0.0, "cell": [[-0.782, -4.656, 1.517], [-0.667, -2.218, -7.153], [7.987, -0.269, 3.290]], "species": ["Mg", "Mg", "Mg", "Mg", "Mg", "Mg", "Mg", "Mg", "Cd", "Cd", "Cd", "Ga", "Ga"], "frac_coords": [[0.000, 0.673, 0.346], [0.000, 0.327, 0.654], [0.000, 0.133, 0.265], [0.000, 0.867, 0.735], [0.500, 0.593, 0.766], [0.500, 0.173, 0.766], [0.500, 0.827, 0.234], [0.500, 0.407, 0.234], [0.500, 0.000, 0.000], [0.000, 0.297, 0.000], [0.000, 0.703, 0.000], [0.500, 0.234, 0.469], [0.500, 0.766, 0.531]]}

{"formula": "Mg11Cd9Ga4", "functional": "GGA-PBE", "state": "optimized geometry", "e_tot_ev_per_cell": -40.05, "sg": "Cmmm", "formation_enthalpy_0k_ev_per_fu": -2.17, "magmom_total_mub_per_cell": 0.0, "cell": [[-0.325, -1.683, 2.979], [-11.806, -3.149, -3.067], [8.300, -8.610, -3.960]], "species": ["Mg", "Mg", "Mg", "Mg", "Mg", "Mg", "Mg", "Mg", "Mg", "Mg", "Mg", "Cd", "Cd", "Cd", "Cd", "Cd", "Cd", "Cd", "Cd", "Cd", "Ga", "Ga", "Ga", "Ga"], "frac_coords": [[0.000, 0.591, 0.944], [0.000, 0.409, 0.056], [0.000, 0.944, 0.591], [0.000, 0.056, 0.409], [0.000, 0.631, 0.369], [0.000, 0.369, 0.631], [0.000, 0.839, 0.161], [0.000, 0.161, 0.839], [0.000, 0.000, 0.000], [0.000, 0.713, 0.713], [0.000, 0.287, 0.287], [0.500, 0.630, 0.156], [0.500, 0.370, 0.844], [0.500, 0.156, 0.630], [0.500, 0.844, 0.370], [0.500, 0.788, 0.939], [0.500, 0.212, 0.061], [0.500, 0.939, 0.788], [0.500, 0.061, 0.212], [0.500, 0.500, 0.500], [0.500, 0.554, 0.752], [0.500, 0.446, 0.248], [0.500, 0.752, 0.554], [0.500, 0.248, 0.446]]}